Compound: Th3Al2Au4
Source: Alexandria via LeMat-Bulk
Functional: PBE
Structure: relaxed

calculated density: 12322 kg/m³
ΔE_f: -0.680 eV per atom
total magnetization: 0.000 μB/f.u.

```
data_Th3Al2Au4
_space_group_name_H-M_alt 'C 1 2/m 1'
_space_group_IT_number 12
_space_group_name_Hall '-C 2y'
_cell_length_a 11.2376
_cell_length_b 4.5821
_cell_length_c 8.8573
_cell_angle_alpha 90.00
_cell_angle_beta 114.65
_cell_angle_gamma 90.00
loop_
_atom_site_label
_atom_site_fract_x
_atom_site_fract_y
_atom_site_fract_z
Th1 0.0000 0.0000 0.0000
Th2 0.1409 0.5000 0.6828
Al1 0.1480 0.5000 0.3157
Au1 0.0909 0.0000 0.4120
Au2 0.2026 0.5000 0.0586
```